Entry from the Alexandria database: a PBEsol-optimized structure of YBe2As (SCAN).

POSCAR file:
```
YBe2As
1.0
3.2171 0.0000 0.0000
0.0000 3.2171 0.0000
0.0000 0.0000 6.0626
Y Be As
1 2 1
Cartesian
0.0000 0.0000 0.0000
0.0000 0.0000 3.1238
1.6085 1.6085 4.1137
1.6085 1.6085 1.9248
```

Energy   -14.21 eV per atom
Magnetic moment   0.46 μB/f.u.
Calculated volume   15.69 A^3/atom
SG   P4mm



Entry from the Alexandria database: a PBEsol-optimized structure of YBe3As (SCAN).

POSCAR file:
```
YBe3As
1.0
4.8090 0.0000 0.0000
0.0000 4.8090 0.0000
0.0000 0.0000 4.8090
Y Be As
1 3 1
Cartesian
0.0000 0.0000 0.0000
0.0000 0.0000 2.4045
0.0000 2.4045 0.0000
2.4045 0.0000 0.0000
2.4045 2.4045 2.4045
```

Energy   -10.17 eV per atom
Magnetic moment   1.14 μB/f.u.
Calculated volume   22.24 A^3/atom
SG   Pm-3m